## NdGe2BiO8 (GGA-PBE)

Data for an optimized crystal structure of NdGe2BiO8.

Lattice parameters (Å, degrees): 6.0390 6.0390 6.0390 106.47 106.47 115.66
With the nearest neighbours (Å) after each atom.
Element x y z (fractional)
Nd (0.2500, 0.7500, 0.5000)  8 O 2.38-2.44
Ge (0.7500, 0.2500, 0.5000)  4 O 1.78
Ge (0.5000, 0.5000, 0.0000)  4 O 1.78
Bi (0.0000, 0.0000, 0.0000)  8 O 2.31-2.34
O (0.3820, 0.0675, 0.3145)  1 Ge 1.78
O (0.3059, 0.4811, 0.1751)  1 Ge 1.78
O (0.3059, 0.1308, 0.8249)  1 Ge 1.78
O (0.7530, 0.0675, 0.6855)  1 Ge 1.78
O (0.8692, 0.6941, 0.1751)  1 Ge 1.78
O (0.9325, 0.2470, 0.3145)  1 Ge 1.78
O (0.9325, 0.6180, 0.6855)  1 Ge 1.78
O (0.5189, 0.6941, 0.8249)  1 Ge 1.78

Computed properties:
Total moment, μB/f.u.: 0.0
Uncorrected formation energy, eV/f.u.: -20.551
Space group: No. 119
Calculated total energy, eV/atom: -6.508